Material: NaFeTe2Pt
Method: DFT, GGA-PBE
State: relaxed

Results
uncorrected formation energy: 21.6 kJ per mole of atoms
energy: -4.1976 eV per atom
symmetry: P4/mmm (123)

Cell lengths 5.403, 4.890, 5.403 Å; angles 90.00, 90.00, 90.00 degrees
Fractional positions:
Na: 0.500 0.500 0.500
Te: 0.000 0.000 0.500
Te: 0.500 0.000 0.000
Fe: 0.000 0.500 0.000
Pt: 0.000 0.000 0.000


Material: NaFe2TePt
Method: DFT, GGA-PBE
State: relaxed

Results
uncorrected formation energy: 54.1 kJ per mole of atoms
energy: -4.9244 eV per atom
symmetry: P4/mmm (123)

Cell lengths 4.808, 5.464, 4.808 Å; angles 90.00, 90.00, 90.00 degrees
Fractional positions:
Na: 0.500 0.500 0.500
Te: 0.000 0.500 0.000
Fe: 0.000 0.000 0.500
Fe: 0.500 0.000 0.000
Pt: 0.000 0.000 0.000


Material: Na2VFePt
Method: DFT, GGA-PBE
State: relaxed

Results
energy: -3.8437 eV per atom
symmetry: P4/mmm (123)
calculated formation energy: 1.408 eV/atom

Cell lengths 5.236, 3.892, 5.236 Å; angles 90.00, 90.00, 90.00 degrees
Fractional positions:
Na: 0.000 0.000 0.500
Na: 0.500 0.000 0.000
Fe: 0.000 0.500 0.000
Pt: 0.500 0.500 0.500
V: 0.000 0.000 0.000


Q: Look up the energy of the third one.
A: -3.8437 eV per atom